Record 1
{
  "formula": "La6Ga2Pt",
  "functional": "GGA-PBE",
  "state": "relaxed",
  "cell": [[6.087, 0.000, 0.000], [0.000, 8.777, 0.000], [-5.671, 0.000, 10.358]],
  "species": ["La", "La", "La", "La", "La", "La", "La", "La", "La", "La", "La", "La", "Ga", "Ga", "Ga", "Ga", "Pt", "Pt"],
  "frac_coords": [[0.048, 0.166, 0.441], [0.048, 0.334, 0.941], [0.354, 0.662, 0.440], [0.354, 0.838, 0.940], [0.359, 0.017, 0.268], [0.359, 0.483, 0.768], [0.641, 0.517, 0.232], [0.641, 0.983, 0.732], [0.646, 0.162, 0.060], [0.646, 0.338, 0.560], [0.952, 0.666, 0.059], [0.952, 0.834, 0.559], [0.174, 0.134, 0.747], [0.174, 0.366, 0.247], [0.826, 0.634, 0.753], [0.826, 0.866, 0.253], [0.000, 0.000, 0.000], [0.000, 0.500, 0.500]],
  "polymorph_energy_ev_per_atom": 0.070,
  "formation_enthalpy_0k_kj_per_mol_atoms": -46.1,
  "magmom_total_mub_per_cell": 0.00,
  "rho_g_cm3": 7.01
}

Record 2
{
  "formula": "LiCr2Ni",
  "functional": "GGA-PBE",
  "state": "relaxed",
  "cell": [[2.865, 0.000, 0.000], [0.000, 3.966, 0.000], [0.000, 0.000, 8.343]],
  "species": ["Li", "Li", "Cr", "Cr", "Cr", "Cr", "Ni", "Ni"],
  "frac_coords": [[0.000, 0.000, 0.000], [0.500, 0.500, 0.000], [0.000, 0.000, 0.484], [0.000, 0.500, 0.720], [0.500, 0.000, 0.720], [0.500, 0.500, 0.484], [0.000, 0.500, 0.250], [0.500, 0.000, 0.250]],
  "polymorph_energy_ev_per_atom": 0.000,
  "formation_enthalpy_0k_kj_per_mol_atoms": 16.3,
  "magmom_total_mub_per_cell": 0.00,
  "rho_g_cm3": 5.94
}

Record 3
{
  "formula": "Nd2PaIn3Se6",
  "functional": "GGA-PBE",
  "state": "relaxed",
  "cell": [[3.655, -6.322, 0.000], [3.655, 6.322, 0.000], [-2.430, 0.000, 7.807]],
  "species": ["Nd", "Nd", "Pa", "In", "In", "In", "Se", "Se", "Se", "Se", "Se", "Se"],
  "frac_coords": [[0.166, 0.834, 0.000], [0.834, 0.166, 0.000], [0.500, 0.500, 0.000], [0.000, 0.000, 0.500], [0.330, 0.670, 0.500], [0.670, 0.330, 0.500], [0.108, 0.429, 0.786], [0.252, 0.252, 0.218], [0.429, 0.108, 0.786], [0.571, 0.892, 0.214], [0.748, 0.748, 0.782], [0.892, 0.571, 0.214]],
  "raw_formation_energy_mev_per_atom": -1139,
  "magmom_total_mub_per_cell": 2.05,
  "rho_g_cm3": 6.16
}

Record 4
{
  "formula": "Zr7Co2Hg2",
  "functional": "GGA-PBE",
  "state": "relaxed",
  "cell": [[3.808, -5.068, 0.000], [3.808, 5.068, 0.000], [0.000, 0.000, 6.328]],
  "species": ["Zr", "Zr", "Zr", "Zr", "Zr", "Zr", "Zr", "Co", "Co", "Hg", "Hg"],
  "frac_coords": [[0.000, 0.000, 0.000], [0.000, 0.500, 0.245], [0.000, 0.500, 0.755], [0.500, 0.000, 0.245], [0.500, 0.000, 0.755], [0.500, 0.500, 0.240], [0.500, 0.500, 0.760], [0.281, 0.719, 0.000], [0.719, 0.281, 0.000], [0.179, 0.179, 0.500], [0.821, 0.821, 0.500]],
  "formation_enthalpy_0k_kj_per_mol_atoms": 3.2,
  "magmom_total_mub_per_cell": 0.00,
  "rho_g_cm3": 7.87
}